[1]
A relaxed structure of ReAg2W. Source: Alexandria via LeMat-Bulk, functional PBE.

Raw total energy (eV per atom): -7.08
Formation enthalpy at 0 K (eV per atom): 0.69
V (Å³/atom): 16.500

Cell lengths 2.677, 2.677, 9.797 Å; angles 90.00, 90.00, 109.94 degrees
Fractional coordinates of all 4 atoms:
Ag 0.000 0.000 0.001
Ag 0.000 0.000 0.499
Re 0.500 0.500 0.250
W 0.500 0.500 0.750

[2]
A relaxed structure of BiRuS2Cl. Source: Alexandria via LeMat-Bulk, functional PBE.

Raw total energy (eV per atom): -4.56
V (Å³/atom): 20.773

Cell lengths 4.683, 4.683, 4.736 Å; angles 90.00, 90.00, 90.00 degrees
Fractional coordinates of all 5 atoms:
S 0.500 0.000 0.000
S 0.000 0.500 0.000
Cl 0.000 0.000 0.500
Ru 0.000 0.000 0.000
Bi 0.500 0.500 0.500

[3]
A relaxed structure of Ba3Tl5In2Sb2. Source: Alexandria via LeMat-Bulk, functional PBE.

Raw total energy (eV per atom): -2.96
V (Å³/atom): 36.665

Cell lengths 5.025, 5.025, 17.785 Å; angles 98.12, 98.12, 90.00 degrees
Fractional coordinates of all 12 atoms:
Tl 0.500 0.500 0.000
Tl 0.577 0.077 0.154
Tl 0.077 0.577 0.154
Tl 0.423 0.923 0.846
Tl 0.923 0.423 0.846
In 0.370 0.370 0.739
In 0.630 0.630 0.261
Ba 0.192 0.192 0.383
Ba 0.808 0.808 0.617
Ba 0.000 0.000 0.000
Sb 0.291 0.291 0.581
Sb 0.709 0.709 0.419

[4]
A relaxed structure of LiLa2Pd6Pb. Source: Alexandria via LeMat-Bulk, functional PBE.

Raw total energy (eV per atom): -5.15
Formation enthalpy at 0 K (eV per atom): -0.49
V (Å³/atom): 23.355

Cell lengths 5.700, 8.941, 5.696 Å; angles 71.40, 59.99, 90.16 degrees
Fractional coordinates of all 10 atoms:
La 0.711 0.129 0.580
La 0.289 0.871 0.420
Pd 0.254 0.772 0.987
Pd 0.746 0.228 0.013
Pd 0.757 0.774 0.986
Pd 0.757 0.774 0.484
Pd 0.243 0.226 0.014
Pd 0.243 0.226 0.516
Pb 0.500 0.500 0.000
Li 0.000 0.000 0.000

[5]
A relaxed structure of Tl6In4Hg. Source: Alexandria via LeMat-Bulk, functional PBE.

Raw total energy (eV per atom): -2.25
Formation enthalpy at 0 K (eV per atom): 0.07
V (Å³/atom): 30.878

Cell lengths 6.145, 6.145, 9.988 Å; angles 107.92, 107.92, 90.00 degrees
Fractional coordinates of all 11 atoms:
Tl 0.494 0.494 0.376
Tl 0.118 0.506 0.624
Tl 0.506 0.118 0.624
Tl 0.000 0.500 0.000
Tl 0.882 0.882 0.376
Tl 0.500 0.000 0.000
In 0.683 0.683 0.740
In 0.057 0.057 0.740
In 0.317 0.943 0.260
In 0.943 0.317 0.260
Hg 0.500 0.500 0.000

[6]
A relaxed structure of NaCdAu. Source: Alexandria via LeMat-Bulk, functional PBE.

Raw total energy (eV per atom): -2.07
Formation enthalpy at 0 K (eV per atom): -0.23
V (Å³/atom): 24.789

Cell lengths 4.299, 4.564, 7.581 Å; angles 90.00, 90.13, 90.00 degrees
Fractional coordinates of all 6 atoms:
Na 0.752 0.250 0.858
Na 0.248 0.750 0.142
Au 0.749 0.250 0.257
Au 0.251 0.750 0.743
Cd 0.250 0.250 0.508
Cd 0.750 0.750 0.492